Entry 1:
Computed, not measured: an optimized crystal structure of Li2AcIn6 at the PBE level of DFT.

density of states at the Fermi level = 6.276 states/eV per cell
formation energy = -0.13 eV per atom

Cell: 6.3799 6.3799 7.5478 Å, 90.00 90.00 120.00°
Space group P6/mmm (No. 191)
Asymmetric unit:
Li1 0.3333 0.6667 0.0000 (multiplicity 2)
Ac1 0.0000 0.0000 0.5000 (multiplicity 1)
In1 0.0000 0.5000 0.3008 (multiplicity 6)

***

Entry 2:
Computed, not measured: an optimized crystal structure of CaSi2MoRu at the PBE level of DFT.

ΔE_f (raw) = 0.43 eV/atom
density of states at the Fermi level = 4.000 states/eV per cell

Cell: 4.728 4.728 4.782 Å, 90.00 90.00 90.00°
Space group P4/mmm (No. 123)
Asymmetric unit:
Ca1 0.000 0.000 0.000 (multiplicity 1)
Si1 0.000 0.500 0.500 (multiplicity 2)
Mo1 0.500 0.500 0.500 (multiplicity 1)
Ru1 0.500 0.500 0.000 (multiplicity 1)

***

Entry 3:
Computed, not measured: an optimized crystal structure of Pa7Sb2C2 at the PBE level of DFT.

ΔE_f (raw) = -0.02 eV/atom
density of states at the Fermi level = 46.036 states/eV per cell

Cell: 10.425 8.878 5.726 Å, 90.00 98.45 90.00°
Space group C2/m (No. 12)
Asymmetric unit:
Pa1 0.000 0.000 0.000 (multiplicity 2)
Pa2 0.094 0.500 0.690 (multiplicity 4)
Pa3 0.203 0.308 0.214 (multiplicity 8)
Sb1 0.000 0.173 0.500 (multiplicity 4)
C1 0.221 0.000 0.022 (multiplicity 4)

***

Entry 4:
Computed, not measured: an optimized crystal structure of Tb7Nd2Tm3 at the PBE level of DFT.

energy above the lowest structure with this stoichiometry = 14 meV per atom
density of states at the Fermi level = 14.393 states/eV per cell
formation energy = 0.09 eV per atom

Cell: 5.775 3.589 18.740 Å, 90.00 93.85 90.00°
Space group P2/m (No. 10)
Asymmetric unit:
Tb1 0.000 0.000 0.000 (multiplicity 1)
Tb2 0.179 0.500 0.176 (multiplicity 2)
Tb3 0.258 0.500 0.537 (multiplicity 2)
Tb4 0.323 0.000 0.858 (multiplicity 2)
Nd1 0.295 0.500 0.705 (multiplicity 2)
Tm1 0.221 0.000 0.370 (multiplicity 2)
Tm2 0.500 0.500 0.000 (multiplicity 1)

***

Entry 5:
Computed, not measured: an optimized crystal structure of CaLaLu2 at the PBE level of DFT.

energy above the lowest structure with this stoichiometry = 0 meV per atom
density of states at the Fermi level = 18.523 states/eV per cell
formation energy = 0.09 eV per atom

Cell: 3.6124 3.6124 35.8138 Å, 90.00 90.00 120.00°
Space group R-3m (No. 166, hexagonal axes)
Asymmetric unit:
Ca1 0.0000 0.0000 0.0000 (multiplicity 3)
La1 0.0000 0.0000 0.5000 (multiplicity 3)
Lu1 0.0000 0.0000 0.2471 (multiplicity 6)

***

Entry 6:
Computed, not measured: an optimized crystal structure of CrGaRe at the PBE level of DFT.

energy above the lowest structure with this stoichiometry = 0 meV per atom
density of states at the Fermi level = 2.461 states/eV per cell
formation energy = -0.03 eV per atom

Cell: 3.040 3.040 8.859 Å, 90.00 90.00 90.00°
Space group I4mm (No. 107)
Asymmetric unit:
Cr1 0.000 0.000 0.000 (multiplicity 2)
Ga1 0.000 0.000 0.332 (multiplicity 2)
Re1 0.000 0.000 0.649 (multiplicity 2)

***

Entry 7:
Computed, not measured: an optimized crystal structure of Mg2ScHgC at the PBE level of DFT.

density of states at the Fermi level = 4.065 states/eV per cell
formation energy = -0.16 eV per atom

Cell: 4.441 4.441 4.539 Å, 90.00 90.00 90.00°
Space group P4/mmm (No. 123)
Asymmetric unit:
Mg1 0.000 0.500 0.000 (multiplicity 2)
Sc1 0.000 0.000 0.500 (multiplicity 1)
Hg1 0.500 0.500 0.500 (multiplicity 1)
C1 0.000 0.000 0.000 (multiplicity 1)

***

Entry 8:
Computed, not measured: an optimized crystal structure of Y2TiTeO at the PBE level of DFT.

ΔE_f (raw) = 0.26 eV/atom
density of states at the Fermi level = 3.356 states/eV per cell

Cell: 5.372 5.372 4.903 Å, 90.00 90.00 90.00°
Space group P4/mmm (No. 123)
Asymmetric unit:
Y1 0.000 0.500 0.000 (multiplicity 2)
Ti1 0.000 0.000 0.000 (multiplicity 1)
Te1 0.000 0.000 0.500 (multiplicity 1)
O1 0.500 0.500 0.500 (multiplicity 1)

***

Entry 9:
Computed, not measured: an optimized crystal structure of SbMoOs at the PBE level of DFT.

ΔE_f (raw) = 0.45 eV/atom
energy above the lowest structure with this stoichiometry = 305 meV per atom
density of states at the Fermi level = 4.758 states/eV per cell

Cell: 3.002 4.083 8.309 Å, 90.00 90.00 90.00°
Space group Imm2 (No. 44)
Asymmetric unit:
Sb1 0.000 0.000 0.000 (multiplicity 2)
Mo1 0.000 0.000 0.675 (multiplicity 2)
Os1 0.000 0.000 0.325 (multiplicity 2)

***

Entry 10:
Computed, not measured: an optimized crystal structure of CsCu2HgBr6 at the PBE level of DFT.

ΔE_f (raw) = -0.62 eV/atom
density of states at the Fermi level = 41.990 states/eV per cell

Cell: 13.688 16.645 6.702 Å, 90.00 94.47 90.00°
Space group C2/c (No. 15)
Asymmetric unit:
Cs1 0.000 0.108 0.250 (multiplicity 4)
Cu1 0.199 0.429 0.213 (multiplicity 8)
Hg1 0.000 0.352 0.750 (multiplicity 4)
Br1 0.118 0.309 0.052 (multiplicity 8)
Br2 0.130 0.093 0.759 (multiplicity 8)
Br3 0.138 0.449 0.544 (multiplicity 8)

***

Entry 11:
Computed, not measured: an optimized crystal structure of FeHgBr3 at the PBE level of DFT.

ΔE_f (raw) = 0.08 eV/atom
energy above the lowest structure with this stoichiometry = 389 meV per atom
density of states at the Fermi level = 9.851 states/eV per cell

Cell: 4.965 4.965 4.965 Å, 90.00 90.00 90.00°
Space group Pm-3m (No. 221)
Asymmetric unit:
Fe1 0.000 0.000 0.000 (multiplicity 1)
Hg1 0.500 0.500 0.500 (multiplicity 1)
Br1 0.000 0.000 0.500 (multiplicity 3)

***

Entry 12:
Computed, not measured: an optimized crystal structure of Pu3Hg2Bi2 at the PBE level of DFT.

density of states at the Fermi level = 36.731 states/eV per cell
formation energy = -0.17 eV per atom

Cell: 5.125 5.131 8.664 Å, 102.75 96.79 115.17°
Space group P-1 (No. 2)
Asymmetric unit:
Pu1 0.000 0.000 0.000 (multiplicity 1)
Pu2 0.435 0.866 0.302 (multiplicity 2)
Hg1 0.145 0.291 0.436 (multiplicity 2)
Bi1 0.283 0.572 0.855 (multiplicity 2)